# Gd2HoErTl2 (PBE, relaxed)
data_Gd2HoErTl2
_symmetry_space_group_name_H-M 'P -6 m 2'
_symmetry_Int_Tables_number 187
_symmetry_space_group_name_Hall 'P -6 2'
_cell_length_a 5.3976
_cell_length_b 5.3976
_cell_length_c 6.7208
_cell_angle_alpha 90.00
_cell_angle_beta 90.00
_cell_angle_gamma 120.00
loop_
_atom_site_label
_atom_site_fract_x
_atom_site_fract_y
_atom_site_fract_z
Gd1 0.0000 0.0000 0.2495
Ho1 0.3333 0.6667 0.5000
Er1 0.6667 0.3333 0.0000
Tl1 0.3333 0.6667 0.0000
Tl2 0.6667 0.3333 0.5000
# Total energy in eV per cell: -24.7
# Total moment in μB/f.u.: 1.01

=====

# Gd2Lu3Al3 (PBE, relaxed)
data_Gd2Lu3Al3
_symmetry_space_group_name_H-M 'P -6 m 2'
_symmetry_Int_Tables_number 187
_symmetry_space_group_name_Hall 'P -6 2'
_cell_length_a 6.8303
_cell_length_b 6.8303
_cell_length_c 5.0609
_cell_angle_alpha 90.00
_cell_angle_beta 90.00
_cell_angle_gamma 120.00
loop_
_atom_site_label
_atom_site_fract_x
_atom_site_fract_y
_atom_site_fract_z
Gd1 0.0000 0.0000 0.0000
Gd2 0.3333 0.6667 0.5000
Lu1 0.3490 0.1745 0.5000
Al1 0.5243 0.0487 0.0000
# ΔE to the lowest computed polymorph in kJ per mole of atoms: 7.4
# Total moment in μB/f.u.: 0.04

=====

# MoS (PBE, relaxed)
data_MoS
_symmetry_space_group_name_H-M 'F m -3 m'
_symmetry_Int_Tables_number 225
_symmetry_space_group_name_Hall '-F 4 2 3'
_cell_length_a 4.9601
_cell_length_b 4.9601
_cell_length_c 4.9601
_cell_angle_alpha 90.00
_cell_angle_beta 90.00
_cell_angle_gamma 90.00
loop_
_atom_site_label
_atom_site_fract_x
_atom_site_fract_y
_atom_site_fract_z
Mo1 0.0000 0.0000 0.0000
S1 0.0000 0.0000 0.5000
# ΔE to the lowest computed polymorph in kJ per mole of atoms: 44.3
# Total moment in μB/f.u.: 0.33

=====

# Dy3Zn3Pt2Au (PBE, relaxed)
data_Dy3Zn3Pt2Au
_symmetry_space_group_name_H-M 'P -6 2 m'
_symmetry_Int_Tables_number 189
_symmetry_space_group_name_Hall 'P -6 -2'
_cell_length_a 7.3827
_cell_length_b 7.3827
_cell_length_c 3.8323
_cell_angle_alpha 90.00
_cell_angle_beta 90.00
_cell_angle_gamma 120.00
loop_
_atom_site_label
_atom_site_fract_x
_atom_site_fract_y
_atom_site_fract_z
Dy1 0.0000 0.5923 0.0000
Zn1 0.0000 0.2614 0.5000
Pt1 0.3333 0.6667 0.5000
Au1 0.0000 0.0000 0.0000
# Formation energy from the elements in kcal/mol of atoms: -20.5
# Total moment in μB/f.u.: 0.01

=====

# Y2ErSc3CuS2 (PBE, relaxed)
data_Y2ErSc3CuS2
_symmetry_space_group_name_H-M 'A m m 2'
_symmetry_Int_Tables_number 38
_symmetry_space_group_name_Hall 'A 2 -2'
_cell_length_a 3.7971
_cell_length_b 13.1338
_cell_length_c 7.5490
_cell_angle_alpha 90.00
_cell_angle_beta 90.00
_cell_angle_gamma 90.00
loop_
_atom_site_label
_atom_site_fract_x
_atom_site_fract_y
_atom_site_fract_z
Y1 0.0000 0.2047 0.0000
Er1 0.0000 0.0000 0.6136
Sc1 0.5000 0.0000 0.9541
Sc2 0.5000 0.1244 0.3306
Cu1 0.0000 0.0000 0.2068
S1 0.5000 0.1662 0.7044
# Total energy in eV per cell: -110.9
# Total moment in μB/f.u.: 2.16

=====

# MgScCu4Ge2 (PBE, relaxed)
data_MgScCu4Ge2
_symmetry_space_group_name_H-M 'P 4/m m m'
_symmetry_Int_Tables_number 123
_symmetry_space_group_name_Hall '-P 4 2'
_cell_length_a 4.2910
_cell_length_b 4.2910
_cell_length_c 6.3569
_cell_angle_alpha 90.00
_cell_angle_beta 90.00
_cell_angle_gamma 90.00
loop_
_atom_site_label
_atom_site_fract_x
_atom_site_fract_y
_atom_site_fract_z
Mg1 0.0000 0.0000 0.0000
Sc1 0.5000 0.5000 0.5000
Cu1 0.0000 0.5000 0.2385
Ge1 0.0000 0.0000 0.5000
Ge2 0.5000 0.5000 0.0000
# Total energy in eV per cell: -33.4
# Total moment in μB/f.u.: 0.00

=====

# TbZrCo (PBE, relaxed)
data_TbZrCo
_symmetry_space_group_name_H-M 'F -4 3 m'
_symmetry_Int_Tables_number 216
_symmetry_space_group_name_Hall 'F -4 2 3'
_cell_length_a 6.3860
_cell_length_b 6.3860
_cell_length_c 6.3860
_cell_angle_alpha 90.00
_cell_angle_beta 90.00
_cell_angle_gamma 90.00
loop_
_atom_site_label
_atom_site_fract_x
_atom_site_fract_y
_atom_site_fract_z
Tb1 0.0000 0.0000 0.0000
Zr1 0.2500 0.2500 0.7500
Co1 0.0000 0.0000 0.5000
# Formation energy from the elements in kcal/mol of atoms: 16.7
# Total moment in μB/f.u.: 0.01

=====

# CoB (PBE, relaxed)
data_CoB
_symmetry_space_group_name_H-M 'R -3 m'
_symmetry_Int_Tables_number 166
_symmetry_space_group_name_Hall '-R 3 2"'
_cell_length_a 2.5577
_cell_length_b 2.5577
_cell_length_c 8.7672
_cell_angle_alpha 90.00
_cell_angle_beta 90.00
_cell_angle_gamma 120.00
loop_
_atom_site_label
_atom_site_fract_x
_atom_site_fract_y
_atom_site_fract_z
Co1 0.0000 0.0000 0.0000
B1 0.0000 0.0000 0.5000
# Total energy in eV per cell: -40.9
# Total moment in μB/f.u.: 0.01